--- A ---
UPaAs | GGA-PBE | relaxed

Cell lengths 3.0170, 4.9812, 4.9812 Å; angles 120.00, 90.00, 90.00 degrees
Fractional positions:
As 0.3065 0.3333 0.6667
Pa 0.6032 0.6667 0.3333
U 0.0903 0.0000 0.0000

space group = P3m1 (156)
spin magnetization = 1.53 μB per cell

--- B ---
UPaAs | GGA-PBE | relaxed

Cell lengths 3.8757, 3.8757, 5.2408 Å; angles 111.70, 111.70, 90.00 degrees
Fractional positions:
As 0.9480 0.9480 0.8961
Pa 0.5972 0.5972 0.1944
U 0.3048 0.3048 0.6095

space group = I4mm (107)
spin magnetization = 3.05 μB per cell

The calculated energies rank the structures as follows, beginning with the most stable: B, A.

--- A ---
PaVAs2 | GGA-PBE | relaxed

Cell lengths 4.2311, 4.2311, 8.2510 Å; angles 75.14, 75.14, 60.00 degrees
Fractional positions:
As 0.1050 0.1050 0.6849
As 0.8950 0.8950 0.3151
Pa 0.5000 0.5000 0.5000
V 0.0000 0.0000 0.0000

space group = R-3m (166)
spin magnetization = 4.02 μB per cell

--- B ---
PaVAs2 | GGA-PBE | relaxed

Cell lengths 3.5202, 4.6783, 4.6783 Å; angles 90.00, 90.00, 90.00 degrees
Fractional positions:
As 0.0000 0.0000 0.5000
As 0.0000 0.5000 0.0000
Pa 0.5000 0.0000 0.0000
V 0.5000 0.5000 0.5000

space group = P4/mmm (123)
spin magnetization = 2.66 μB per cell

--- C ---
PaVAs2 | GGA-PBE | relaxed

Cell lengths 4.7056, 4.7056, 4.7056 Å; angles 60.00, 60.00, 60.00 degrees
Fractional positions:
As 0.2500 0.2500 0.2500
As 0.7500 0.7500 0.7500
Pa 0.0000 0.0000 0.0000
V 0.5000 0.5000 0.5000

space group = Fm-3m (225)
spin magnetization = 0.00 μB per cell

The calculated energies rank the structures as follows, beginning with the most stable: C, B, A.